# 1
## Ce4SiSe2Cl (PBE-GGA)

Data for an optimized crystal structure of Ce4SiSe2Cl.

Structure (CIF):
```
data_Ce4SiSe2Cl
_chemical_formula_sum 'Ce4 Si1 Se2 Cl1'
_space_group_name_H-M_alt 'P 1 2/m 1'
_space_group_IT_number 10
_space_group_name_Hall '-P 2y'
_cell_length_a 7.152
_cell_length_b 4.178
_cell_length_c 7.256
_cell_angle_alpha 90.00
_cell_angle_beta 109.59
_cell_angle_gamma 90.00
loop_
_atom_site_label
_atom_site_fract_x
_atom_site_fract_y
_atom_site_fract_z
Ce1 0.245 0.000 0.244
Ce2 0.248 0.500 0.755
Si1 0.000 0.500 0.000
Se1 0.000 0.000 0.500
Se2 0.500 0.500 0.500
Cl1 0.500 0.000 0.000
```

Results
Electronic total energy ... -49.59 eV for the cell shown

***

# 2
## CeTa2Se4Cl2 (PBE-GGA)

Data for an optimized crystal structure of CeTa2Se4Cl2.

Structure (CIF):
```
data_CeTa2Se4Cl2
_chemical_formula_sum 'Ce1 Ta2 Se4 Cl2'
_space_group_name_H-M_alt 'P 3 m 1'
_space_group_IT_number 156
_space_group_name_Hall 'P 3 -2"'
_cell_length_a 3.5588
_cell_length_b 3.5588
_cell_length_c 21.9406
_cell_angle_alpha 90.00
_cell_angle_beta 90.00
_cell_angle_gamma 120.00
loop_
_atom_site_label
_atom_site_fract_x
_atom_site_fract_y
_atom_site_fract_z
Ce1 0.0000 0.0000 0.0000
Ta1 0.0000 0.0000 0.6495
Ta2 0.6667 0.3333 0.3315
Se1 0.0000 0.0000 0.2562
Se2 0.0000 0.0000 0.4066
Se3 0.6667 0.3333 0.5744
Se4 0.6667 0.3333 0.7248
Cl1 0.6667 0.3333 0.0877
Cl2 0.6667 0.3333 0.9122
```

Results
Electronic total energy ... -57.56 eV for the cell shown

***

# 3
## TbCeSe2Cl (PBE-GGA)

Data for an optimized crystal structure of TbCeSe2Cl.

Structure (CIF):
```
data_TbCeSe2Cl
_chemical_formula_sum 'Tb2 Ce2 Se4 Cl2'
_space_group_name_H-M_alt 'P 4/n m m'
_space_group_IT_number 129
_cell_length_a 4.205
_cell_length_b 4.205
_cell_length_c 14.071
_cell_angle_alpha 90.00
_cell_angle_beta 90.00
_cell_angle_gamma 90.00
loop_
_space_group_symop_operation_xyz
'x,y,z'
'-x,-y,-z'
'-y+1/2,x,z'
'y+1/2,-x,-z'
'-x+1/2,-y+1/2,z'
'x+1/2,y+1/2,-z'
'y,-x+1/2,z'
'-y,x+1/2,-z'
'x+1/2,-y,-z'
'-x+1/2,y,z'
'-y,-x,-z'
'y,x,z'
'-x,y+1/2,-z'
'x,-y+1/2,z'
'y+1/2,x+1/2,-z'
'-y+1/2,-x+1/2,z'
loop_
_atom_site_label
_atom_site_fract_x
_atom_site_fract_y
_atom_site_fract_z
Tb1 0.250 0.250 0.094
Ce1 0.250 0.250 0.648
Se1 0.250 0.250 0.297
Se2 0.250 0.250 0.886
Cl1 0.250 0.750 0.500
```

Results
Electronic total energy ... -57.41 eV for the cell shown

***

# 4
## CeTl2Se2Cl2 (PBE-GGA)

Data for an optimized crystal structure of CeTl2Se2Cl2.

Structure (CIF):
```
data_CeTl2Se2Cl2
_chemical_formula_sum 'Ce2 Tl4 Se4 Cl4'
_space_group_name_H-M_alt 'I 4/m m m'
_space_group_IT_number 139
_space_group_name_Hall '-I 4 2'
_cell_length_a 5.640
_cell_length_b 5.640
_cell_length_c 15.806
_cell_angle_alpha 90.00
_cell_angle_beta 90.00
_cell_angle_gamma 90.00
loop_
_atom_site_label
_atom_site_fract_x
_atom_site_fract_y
_atom_site_fract_z
Ce1 0.000 0.000 0.000
Tl1 0.000 0.000 0.375
Se1 0.000 0.500 0.000
Cl1 0.000 0.000 0.169
```

Results
Electronic total energy ... -60.14 eV for the cell shown

***

# 5
## CeYSe2Cl (PBE-GGA)

Data for an optimized crystal structure of CeYSe2Cl.

Structure (CIF):
```
data_CeYSe2Cl
_chemical_formula_sum 'Ce2 Y2 Se4 Cl2'
_space_group_name_H-M_alt 'P 4/n m m'
_space_group_IT_number 129
_cell_length_a 4.205
_cell_length_b 4.205
_cell_length_c 14.044
_cell_angle_alpha 90.00
_cell_angle_beta 90.00
_cell_angle_gamma 90.00
loop_
_space_group_symop_operation_xyz
'x,y,z'
'-x,-y,-z'
'-y+1/2,x,z'
'y+1/2,-x,-z'
'-x+1/2,-y+1/2,z'
'x+1/2,y+1/2,-z'
'y,-x+1/2,z'
'-y,x+1/2,-z'
'x+1/2,-y,-z'
'-x+1/2,y,z'
'-y,-x,-z'
'y,x,z'
'-x,y+1/2,-z'
'x,-y+1/2,z'
'y+1/2,x+1/2,-z'
'-y+1/2,-x+1/2,z'
loop_
_atom_site_label
_atom_site_fract_x
_atom_site_fract_y
_atom_site_fract_z
Ce1 0.250 0.250 0.148
Y1 0.250 0.250 0.594
Se1 0.250 0.250 0.387
Se2 0.250 0.250 0.796
Cl1 0.250 0.750 0.000
```

Results
Electronic total energy ... -61.08 eV for the cell shown

***

# 6
## CeSiCl (PBE-GGA)

Data for an optimized crystal structure of CeSiCl.

Structure (CIF):
```
data_CeSiCl
_chemical_formula_sum 'Ce4 Si4 Cl4'
_space_group_name_H-M_alt 'I m m m'
_space_group_IT_number 71
_space_group_name_Hall '-I 2 2'
_cell_length_a 3.381
_cell_length_b 4.669
_cell_length_c 18.687
_cell_angle_alpha 90.00
_cell_angle_beta 90.00
_cell_angle_gamma 90.00
loop_
_atom_site_label
_atom_site_fract_x
_atom_site_fract_y
_atom_site_fract_z
Ce1 0.000 0.000 0.148
Si1 0.000 0.248 0.000
Cl1 0.000 0.000 0.314
```

Results
Electronic total energy ... -61.20 eV for the cell shown